Crystalline Cs2ZrP at its relaxed geometry, computed with PBE-GGA.

Computed properties:
E_form: 107.54 kJ/mol of atoms
ΔE to the lowest computed polymorph: 0.922 eV/atom
Crystal system: cubic

Cell: 8.4066 8.4066 8.4066 Å, 90.00 90.00 90.00°
With the nearest neighbours (Å) after each atom.
Space group Fm-3m (No. 225)
One atom of each set of equivalent atoms:
Cs (0.2500, 0.2500, 0.2500)  4 P 3.64, 4 Zr 3.64
Zr (0.0000, 0.0000, 0.0000)  8 Cs 3.64
P (0.0000, 0.0000, 0.5000)  8 Cs 3.64

Crystalline ZrReHg at its relaxed geometry, computed with PBE-GGA.

Computed properties:
E_form: 20.91 kJ/mol of atoms
ΔE to the lowest computed polymorph: 0.000 eV/atom
Crystal system: tetragonal

Cell: 3.4710 3.4710 9.5819 Å, 90.00 90.00 90.00°
With the nearest neighbours (Å) after each atom.
Space group I4mm (No. 107)
One atom of each set of equivalent atoms:
Zr (0.0000, 0.0000, 0.0000)  4 Re 2.80, 5 Hg 3.01-3.03
Re (0.0000, 0.0000, 0.6410)  4 Zr 2.80, 5 Hg 2.96-3.13
Hg (0.0000, 0.0000, 0.3139)  5 Re 2.96-3.13, 5 Zr 3.01-3.03

Crystalline PbSe3S at its relaxed geometry, computed with PBE-GGA.

Computed properties:
ΔE to the lowest computed polymorph: 0.000 eV/atom
Uncorrected formation energy: 156 meV/atom
Crystal system: cubic

Cell: 4.9586 4.9586 4.9586 Å, 90.00 90.00 90.00°
With the nearest neighbours (Å) after each atom.
Space group Pm-3m (No. 221)
One atom of each set of equivalent atoms:
Pb (0.0000, 0.0000, 0.0000)  12 Se 3.51
Se (0.0000, 0.5000, 0.5000)  2 S 2.48
S (0.5000, 0.5000, 0.5000)  6 Se 2.48

Crystalline Tb2PmNd4Ho at its relaxed geometry, computed with PBE-GGA.

Computed properties:
E_form: 1.44 kJ/mol of atoms
Crystal system: monoclinic

Cell: 6.2825 3.6402 11.9791 Å, 90.00 100.26 90.00°
With the nearest neighbours (Å) after each atom.
Space group P2/m (No. 10)
One atom of each set of equivalent atoms:
Tb (0.0000, 0.0000, 0.0000)  6 Nd 3.60, 4 Ho 3.63, 2 Tb 3.64
Tb (0.0000, 0.5000, 0.5000)  6 Nd 3.63-3.64, 4 Pm 3.63, 2 Tb 3.64
Pm (0.5000, 0.0000, 0.5000)  4 Tb 3.63, 6 Nd 3.63-3.64, 2 Pm 3.64
Nd (0.2493, 0.0000, 0.7515)  3 Tb 3.60-3.63, 2 Ho 3.60, 6 Nd 3.63-3.64, 1 Pm 3.64
Nd (0.2501, 0.5000, 0.2480)  3 Tb 3.60-3.64, 1 Ho 3.60, 6 Nd 3.63-3.64, 2 Pm 3.63
Ho (0.5000, 0.5000, 0.0000)  6 Nd 3.60, 4 Tb 3.63, 2 Ho 3.64

Crystalline Tb4Er3Sc2 at its relaxed geometry, computed with PBE-GGA.

Computed properties:
E_form: 6.07 kJ/mol of atoms
ΔE to the lowest computed polymorph: 0.000 eV/atom
Crystal system: orthorhombic

Cell: 9.5113 16.3763 6.8795 Å, 90.00 90.00 90.00°
With the nearest neighbours (Å) after each atom.
Space group Cccm (No. 66)
One atom of each set of equivalent atoms:
Tb (0.1450, 0.1716, 0.0000)  3 Sc 3.17-3.47, 2 Tb 3.20-3.25, 2 Er 3.43
Tb (0.1679, 0.4907, 0.0000)  1 Sc 3.15, 4 Tb 3.20-3.45, 2 Er 3.50
Er (0.0000, 0.0000, 0.2500)  2 Er 3.44, 8 Tb 3.57-3.60, 4 Sc 3.65
Er (0.0000, 0.3317, 0.2500)  8 Tb 3.43-3.79, 4 Sc 3.43-3.70, 2 Er 3.44
Sc (0.1877, 0.1638, 0.5000)  1 Sc 3.06, 2 Tb 3.15-3.17

Crystalline Al2ReAs at its relaxed geometry, computed with PBE-GGA.

Computed properties:
E_form: 50.52 kJ/mol of atoms
ΔE to the lowest computed polymorph: 0.590 eV/atom
Crystal system: tetragonal

Cell: 7.1349 7.1349 5.3289 Å, 90.00 90.00 90.00°
With the nearest neighbours (Å) after each atom.
Space group I-42d (No. 122)
One atom of each set of equivalent atoms:
Al (0.2441, 0.7500, 0.1250)  2 As 2.58, 2 Re 2.64, 2 Al 2.67
Re (0.0000, 0.0000, 0.5000)  4 Al 2.64, 2 As 2.66
As (0.0000, 0.0000, 0.0000)  4 Al 2.58, 2 Re 2.66

Crystalline Li4Mg2Hg3 at its relaxed geometry, computed with PBE-GGA.

Computed properties:
E_form: -25.92 kJ/mol of atoms
ΔE to the lowest computed polymorph: 0.008 eV/atom
Crystal system: monoclinic

Cell: 13.5962 10.0586 5.0581 Å, 90.00 98.59 90.00°
With the nearest neighbours (Å) after each atom.
Space group C2/c (No. 15)
One atom of each set of equivalent atoms:
Li (0.0533, 0.1219, 0.0258)  5 Hg 2.82-3.03, 4 Li 2.84-2.95, 1 Mg 2.98
Li (0.2298, 0.3676, 0.8497)  2 Li 2.82-2.92, 5 Hg 2.84-3.09, 3 Mg 2.96-3.00
Mg (0.1150, 0.3769, 0.3025)  5 Hg 2.94-3.06, 4 Li 2.96-3.00, 1 Mg 3.09
Hg (0.0000, 0.3604, 0.7500)  4 Li 2.82-3.09, 6 Mg 2.94-3.06
Hg (0.1640, 0.1164, 0.5910)  8 Li 2.82-3.03, 2 Mg 2.97-3.02

Crystalline LaMgRh at its relaxed geometry, computed with PBE-GGA.

Computed properties:
E_form: -54.24 kJ/mol of atoms
Crystal system: monoclinic

Cell: 5.3912 4.9179 5.5401 Å, 90.00 101.80 90.00°
With the nearest neighbours (Å) after each atom.
Space group P2_1/m (No. 11)
One atom of each set of equivalent atoms:
La (0.2061, 0.2500, 0.3846)  2 Rh 2.74-2.88
Mg (0.3466, 0.7500, 0.9928)  4 Rh 2.79-2.84, 2 Mg 2.96
Rh (0.1173, 0.2500, 0.8539)  2 La 2.74-2.88, 4 Mg 2.79-2.84

| no. | volume (Å³/atom) |
| --- | --- |
| 1 | 37.13 |
| 2 | 19.24 |
| 3 | 24.38 |
| 4 | 33.70 |
| 5 | 29.77 |
| 6 | 16.95 |
| 7 | 19.00 |
| 8 | 23.96 |